1.
Entry from the Alexandria database: a relaxed TaCu2Pd5 crystal (PBE).

Geometry as CIF:
```
data_TaCu2Pd5
_chemical_formula_sum 'Ta4 Cu8 Pd20'
_space_group_name_H-M_alt 'I 4/m c m'
_space_group_IT_number 140
_space_group_name_Hall '-I 4 2c'
_cell_length_a 6.595
_cell_length_b 6.595
_cell_length_c 11.169
_cell_angle_alpha 90.00
_cell_angle_beta 90.00
_cell_angle_gamma 90.00
loop_
_atom_site_label
_atom_site_type_symbol
_atom_site_fract_x
_atom_site_fract_y
_atom_site_fract_z
Ta1 Ta 0.000 0.000 0.250
Cu1 Cu 0.137 0.363 0.000
Pd1 Pd 0.000 0.000 0.000
Pd2 Pd 0.154 0.346 0.342
```



2.
Entry from the Alexandria database: a relaxed Ta2CuPd4 crystal (PBE).

Geometry as CIF:
```
data_Ta2CuPd4
_chemical_formula_sum 'Ta4 Cu2 Pd8'
_space_group_name_H-M_alt 'P 1 21/m 1'
_space_group_IT_number 11
_space_group_name_Hall '-P 2yb'
_cell_length_a 6.570
_cell_length_b 5.111
_cell_length_c 7.447
_cell_angle_alpha 90.00
_cell_angle_beta 116.24
_cell_angle_gamma 90.00
loop_
_atom_site_label
_atom_site_type_symbol
_atom_site_fract_x
_atom_site_fract_y
_atom_site_fract_z
Ta1 Ta 0.130 0.250 0.044
Ta2 Ta 0.305 0.250 0.515
Cu1 Cu 0.251 0.750 0.301
Pd1 Pd 0.095 0.503 0.717
Pd2 Pd 0.452 0.750 0.074
Pd3 Pd 0.452 0.750 0.689
```



3.
Entry from the Alexandria database: a relaxed Ta2CuPd2 crystal (PBE).

Geometry as CIF:
```
data_Ta2CuPd2
_chemical_formula_sum 'Ta4 Cu2 Pd4'
_space_group_name_H-M_alt 'P 4/m b m'
_space_group_IT_number 127
_space_group_name_Hall '-P 4 2ab'
_cell_length_a 7.734
_cell_length_b 7.734
_cell_length_c 2.835
_cell_angle_alpha 90.00
_cell_angle_beta 90.00
_cell_angle_gamma 90.00
loop_
_atom_site_label
_atom_site_type_symbol
_atom_site_fract_x
_atom_site_fract_y
_atom_site_fract_z
Ta1 Ta 0.171 0.329 0.000
Cu1 Cu 0.000 0.000 0.500
Pd1 Pd 0.126 0.626 0.500
```



4.
Entry from the Alexandria database: a relaxed TaCuPd2 crystal (PBE).

Geometry as CIF:
```
data_TaCuPd2
_chemical_formula_sum 'Ta4 Cu4 Pd8'
_space_group_name_H-M_alt 'C m c m'
_space_group_IT_number 63
_space_group_name_Hall '-C 2c 2'
_cell_length_a 2.706
_cell_length_b 20.806
_cell_length_c 4.718
_cell_angle_alpha 90.00
_cell_angle_beta 90.00
_cell_angle_gamma 90.00
loop_
_atom_site_label
_atom_site_type_symbol
_atom_site_fract_x
_atom_site_fract_y
_atom_site_fract_z
Ta1 Ta 0.000 0.218 0.250
Cu1 Cu 0.000 0.032 0.750
Pd1 Pd 0.000 0.090 0.250
Pd2 Pd 0.000 0.159 0.750
```



5.
Entry from the Alexandria database: a relaxed TaCuPd crystal (PBE).

Geometry as CIF:
```
data_TaCuPd
_chemical_formula_sum 'Ta4 Cu4 Pd4'
_space_group_name_H-M_alt 'C m c m'
_space_group_IT_number 63
_space_group_name_Hall '-C 2c 2'
_cell_length_a 2.883
_cell_length_b 17.050
_cell_length_c 3.786
_cell_angle_alpha 90.00
_cell_angle_beta 90.00
_cell_angle_gamma 90.00
loop_
_atom_site_label
_atom_site_type_symbol
_atom_site_fract_x
_atom_site_fract_y
_atom_site_fract_z
Ta1 Ta 0.000 0.200 0.250
Cu1 Cu 0.000 0.041 0.250
Pd1 Pd 0.000 0.387 0.250
```



6.
Entry from the Alexandria database: a relaxed Ta2CuPd7 crystal (PBE).

Geometry as CIF:
```
data_Ta2CuPd7
_chemical_formula_sum 'Ta4 Cu2 Pd14'
_space_group_name_H-M_alt 'C m m m'
_space_group_IT_number 65
_space_group_name_Hall '-C 2 2'
_cell_length_a 7.195
_cell_length_b 13.183
_cell_length_c 4.159
_cell_angle_alpha 90.00
_cell_angle_beta 90.00
_cell_angle_gamma 90.00
loop_
_atom_site_label
_atom_site_type_symbol
_atom_site_fract_x
_atom_site_fract_y
_atom_site_fract_z
Ta1 Ta 0.000 0.199 0.000
Cu1 Cu 0.000 0.500 0.500
Pd1 Pd 0.000 0.000 0.000
Pd2 Pd 0.000 0.304 0.500
Pd3 Pd 0.188 0.393 0.000
```



Values of E, in order: -0.4353, -0.5204, -0.5585, -0.4752, -0.5234, -0.4496, all in Ry per atom.
Values of E_form, in order: -172, -142, 38, 118, -73, 298, all in meV/atom.